Entry 1:
Crystalline CaAgSe2 at its relaxed geometry, computed with PBE.

## Properties
SG: P4/mmm
Fermi-level density of states, states/eV/f.u.: 2.9
Calculated volume, Å³/cell: 95.86
Formation energy without anion corrections, meV/atom: -953

Cell: 4.0765 4.0765 5.7685 Å, 90.00 90.00 90.00°
Fractional coordinates of all 4 atoms:
Ca 0.0000 0.0000 0.0000
Ag 0.5000 0.5000 0.5000
Se 0.0000 0.0000 0.5000
Se 0.5000 0.5000 0.0000



Entry 2:
Crystalline K2CuPt at its relaxed geometry, computed with PBE.

## Properties
SG: C2/m
Fermi-level density of states, states/eV/f.u.: 0.8
Calculated volume, Å³/cell: 207.40
Offset from the most stable computed form, eV/atom: 0.261
Energy relative to the elements, eV per formula unit: 1.3

Cell: 5.5903 8.4949 4.3673 Å, 90.00 90.28 90.00°
Fractional coordinates of all 8 atoms:
K 0.2500 0.2500 0.0000
K 0.2500 0.7500 0.0000
K 0.7500 0.2500 0.0000
K 0.7500 0.7500 0.0000
Cu 0.0000 0.0000 0.5000
Cu 0.5000 0.5000 0.5000
Pt 0.0000 0.5000 0.5000
Pt 0.5000 0.0000 0.5000



Entry 3:
Crystalline TaCu2Rh at its relaxed geometry, computed with PBE.

## Properties
SG: P4mm
Fermi-level density of states, states/eV/f.u.: 3.6
Calculated volume, Å³/cell: 57.13
Energy relative to the elements, eV per formula unit: -0.3

Cell: 3.1370 3.1370 5.8057 Å, 90.00 90.00 90.00°
Fractional coordinates of all 4 atoms:
Ta 0.0000 0.0000 0.0000
Cu 0.0000 0.0000 0.4805
Cu 0.5000 0.5000 0.2803
Rh 0.5000 0.5000 0.7464



Entry 4:
Crystalline NaTlCd2Br6 at its relaxed geometry, computed with PBE.

## Properties
SG: C2/c
Fermi-level density of states, states/eV/f.u.: 0.0
Calculated volume, Å³/cell: 750.28
Formation energy without anion corrections, meV/atom: -977

Cell: 10.0238 10.0238 7.5627 Å, 96.43 96.43 88.57°
Fractional coordinates of all 20 atoms:
Na 0.2212 0.7788 0.7500
Na 0.7788 0.2212 0.2500
Tl 0.4041 0.5959 0.2500
Tl 0.5959 0.4041 0.7500
Cd 0.1069 0.2829 0.7806
Cd 0.2829 0.1069 0.2806
Cd 0.7171 0.8931 0.7194
Cd 0.8931 0.7171 0.2194
Br 0.0631 0.2118 0.1042
Br 0.1142 0.6491 0.4011
Br 0.2118 0.0631 0.6042
Br 0.2757 0.4823 0.8383
Br 0.3509 0.8858 0.0989
Br 0.4823 0.2757 0.3383
Br 0.5177 0.7243 0.6617
Br 0.6491 0.1142 0.9011
Br 0.7243 0.5177 0.1617
Br 0.7882 0.9369 0.3958
Br 0.8858 0.3509 0.5989
Br 0.9369 0.7882 0.8958



Entry 5:
Crystalline BaNiSe2 at its relaxed geometry, computed with PBE.

## Properties
SG: P2/m
Fermi-level density of states, states/eV/f.u.: 1.2
Calculated volume, Å³/cell: 107.67
Formation energy without anion corrections, meV/atom: -957

Cell: 4.5314 3.7107 6.4035 Å, 90.00 90.13 90.00°
Fractional coordinates of all 4 atoms:
Ba 0.0000 0.0000 0.0000
Ni 0.5000 0.0000 0.5000
Se 0.4994 0.5000 0.7314
Se 0.5006 0.5000 0.2686



Entry 6:
Crystalline La2InRe at its relaxed geometry, computed with PBE.

## Properties
SG: Cmmm
Fermi-level density of states, states/eV/f.u.: 6.4
Calculated volume, Å³/cell: 211.02
Energy relative to the elements, eV per formula unit: 0.8

Cell: 7.2801 7.2990 3.9712 Å, 90.00 90.00 90.00°
Fractional coordinates of all 8 atoms:
La 0.2500 0.2500 0.0000
La 0.2500 0.7500 0.0000
La 0.7500 0.2500 0.0000
La 0.7500 0.7500 0.0000
In 0.0000 0.0000 0.5000
In 0.5000 0.5000 0.5000
Re 0.0000 0.5000 0.5000
Re 0.5000 0.0000 0.5000